1.
! Na2HgPd2 (PBEsol, relaxed); values from VASP
! SG: No. 127
! Spin magnetization: 0.0 μB/f.u.
! Energy of formation from the pure elements: -0.6 eV per formula unit
! E: -3.1736 eV per atom
&SYSTEM
  ibrav = 0, nat = 10, ntyp = 3
/
ATOMIC_SPECIES
Na 22.99 Na.upf
Hg 200.59 Hg.upf
Pd 106.42 Pd.upf
CELL_PARAMETERS angstrom
6.813 0.000 0.000
0.000 6.813 0.000
0.000 0.000 4.402
ATOMIC_POSITIONS crystal
Na 0.168 0.332 0.000
Na 0.332 0.832 0.000
Na 0.668 0.168 0.000
Na 0.832 0.668 0.000
Hg 0.000 0.000 0.500
Hg 0.500 0.500 0.500
Pd 0.134 0.634 0.500
Pd 0.366 0.134 0.500
Pd 0.634 0.866 0.500
Pd 0.866 0.366 0.500

2.
! NaHg3Pd (PBEsol, relaxed); values from VASP
! SG: No. 221
! Spin magnetization: 0.0 μB/f.u.
! Energy of formation from the pure elements: -0.4 eV per formula unit
! E: -1.8942 eV per atom
&SYSTEM
  ibrav = 0, nat = 5, ntyp = 3
/
ATOMIC_SPECIES
Na 22.99 Na.upf
Hg 200.59 Hg.upf
Pd 106.42 Pd.upf
CELL_PARAMETERS angstrom
5.186 0.000 0.000
0.000 5.186 0.000
0.000 0.000 5.186
ATOMIC_POSITIONS crystal
Na 0.000 0.000 0.000
Hg 0.000 0.500 0.500
Hg 0.500 0.000 0.500
Hg 0.500 0.500 0.000
Pd 0.500 0.500 0.500

3.
! Na2Hg2Pd (PBEsol, relaxed); values from VASP
! SG: No. 127
! Spin magnetization: 0.0 μB/f.u.
! Energy of formation from the pure elements: -0.7 eV per formula unit
! E: -2.1280 eV per atom
! E above lowest polymorph: 0.0000 eV/atom
&SYSTEM
  ibrav = 0, nat = 10, ntyp = 3
/
ATOMIC_SPECIES
Na 22.99 Na.upf
Hg 200.59 Hg.upf
Pd 106.42 Pd.upf
CELL_PARAMETERS angstrom
7.051 0.000 0.000
0.000 7.051 0.000
0.000 0.000 4.658
ATOMIC_POSITIONS crystal
Na 0.173 0.327 0.000
Na 0.327 0.827 0.000
Na 0.673 0.173 0.000
Na 0.827 0.673 0.000
Hg 0.145 0.645 0.500
Hg 0.355 0.145 0.500
Hg 0.645 0.855 0.500
Hg 0.855 0.355 0.500
Pd 0.000 0.000 0.500
Pd 0.500 0.500 0.500

4.
! NaTa2HgPd (PBEsol, relaxed); values from VASP
! SG: No. 123
! Spin magnetization: 0.0 μB/f.u.
! Energy of formation from the pure elements: 6.3 eV per formula unit
! E: -5.3378 eV per atom
&SYSTEM
  ibrav = 0, nat = 5, ntyp = 4
/
ATOMIC_SPECIES
Na 22.99 Na.upf
Ta 180.95 Ta.upf
Hg 200.59 Hg.upf
Pd 106.42 Pd.upf
CELL_PARAMETERS angstrom
4.848 0.000 0.000
0.000 4.848 0.000
0.000 0.000 5.150
ATOMIC_POSITIONS crystal
Na 0.000 0.000 0.000
Ta 0.000 0.500 0.500
Ta 0.500 0.000 0.500
Hg 0.500 0.500 0.000
Pd 0.500 0.500 0.500

5.
! NaPrHg2 (PBEsol, relaxed); values from VASP
! SG: No. 225
! Spin magnetization: 0.0 μB/f.u.
! Energy of formation from the pure elements: -1.7 eV per formula unit
! E: -2.3608 eV per atom
&SYSTEM
  ibrav = 0, nat = 4, ntyp = 3
/
ATOMIC_SPECIES
Na 22.99 Na.upf
Pr 140.91 Pr.upf
Hg 200.59 Hg.upf
CELL_PARAMETERS angstrom
0.000 3.676 3.676
3.676 0.000 3.676
3.676 3.676 0.000
ATOMIC_POSITIONS crystal
Na 0.000 0.000 0.000
Pr 0.500 0.500 0.500
Hg 0.250 0.250 0.250
Hg 0.750 0.750 0.750

6.
! Na3HgPt (PBEsol, relaxed); values from VASP
! SG: No. 221
! Spin magnetization: 0.0 μB/f.u.
! Energy of formation from the pure elements: 3.0 eV per formula unit
! E: -1.7457 eV per atom
&SYSTEM
  ibrav = 0, nat = 5, ntyp = 3
/
ATOMIC_SPECIES
Na 22.99 Na.upf
Hg 200.59 Hg.upf
Pt 195.08 Pt.upf
CELL_PARAMETERS angstrom
5.307 0.000 0.000
0.000 5.307 0.000
0.000 0.000 5.307
ATOMIC_POSITIONS crystal
Na 0.000 0.000 0.500
Na 0.000 0.500 0.000
Na 0.500 0.000 0.000
Hg 0.000 0.000 0.000
Pt 0.500 0.500 0.500

7.
! Na2SiHgPt (PBEsol, relaxed); values from VASP
! ΔE_f (raw): 0.08 eV per atom
! SG: No. 123
! Spin magnetization: 0.0 μB/f.u.
! E: -3.1379 eV per atom
&SYSTEM
  ibrav = 0, nat = 5, ntyp = 4
/
ATOMIC_SPECIES
Na 22.99 Na.upf
Si 28.09 Si.upf
Hg 200.59 Hg.upf
Pt 195.08 Pt.upf
CELL_PARAMETERS angstrom
5.585 0.000 0.000
0.000 5.585 0.000
0.000 0.000 4.404
ATOMIC_POSITIONS crystal
Na 0.000 0.500 0.000
Na 0.500 0.000 0.000
Si 0.000 0.000 0.000
Hg 0.500 0.500 0.500
Pt 0.000 0.000 0.500

8.
! Rb2NaHg2 (PBEsol, relaxed); values from VASP
! SG: No. 127
! Spin magnetization: 0.0 μB/f.u.
! Energy of formation from the pure elements: -0.8 eV per formula unit
! E: -1.0780 eV per atom
&SYSTEM
  ibrav = 0, nat = 10, ntyp = 3
/
ATOMIC_SPECIES
Rb 85.47 Rb.upf
Na 22.99 Na.upf
Hg 200.59 Hg.upf
CELL_PARAMETERS angstrom
8.539 0.000 0.000
0.000 8.539 0.000
0.000 0.000 5.363
ATOMIC_POSITIONS crystal
Rb 0.176 0.324 0.000
Rb 0.324 0.824 0.000
Rb 0.676 0.176 0.000
Rb 0.824 0.676 0.000
Na 0.000 0.000 0.500
Na 0.500 0.500 0.500
Hg 0.123 0.623 0.500
Hg 0.377 0.123 0.500
Hg 0.623 0.877 0.500
Hg 0.877 0.377 0.500

9.
! RbNaHg2 (PBEsol, relaxed); values from VASP
! SG: No. 225
! Spin magnetization: 0.0 μB/f.u.
! Energy of formation from the pure elements: -0.5 eV per formula unit
! E: -1.0269 eV per atom
&SYSTEM
  ibrav = 0, nat = 4, ntyp = 3
/
ATOMIC_SPECIES
Rb 85.47 Rb.upf
Na 22.99 Na.upf
Hg 200.59 Hg.upf
CELL_PARAMETERS angstrom
0.000 3.994 3.994
3.994 0.000 3.994
3.994 3.994 0.000
ATOMIC_POSITIONS crystal
Rb 0.000 0.000 0.000
Na 0.500 0.500 0.500
Hg 0.250 0.250 0.250
Hg 0.750 0.750 0.750

10.
! RbNa3Hg (PBEsol, relaxed); values from VASP
! SG: No. 221
! Spin magnetization: 0.0 μB/f.u.
! Energy of formation from the pure elements: -0.3 eV per formula unit
! E: -1.2149 eV per atom
&SYSTEM
  ibrav = 0, nat = 5, ntyp = 3
/
ATOMIC_SPECIES
Rb 85.47 Rb.upf
Na 22.99 Na.upf
Hg 200.59 Hg.upf
CELL_PARAMETERS angstrom
5.946 0.000 0.000
0.000 5.946 0.000
0.000 0.000 5.946
ATOMIC_POSITIONS crystal
Rb 0.000 0.000 0.000
Na 0.000 0.500 0.500
Na 0.500 0.000 0.500
Na 0.500 0.500 0.000
Hg 0.500 0.500 0.500

11.
! Rb2Na2Hg (PBEsol, relaxed); values from VASP
! SG: No. 127
! Spin magnetization: 0.0 μB/f.u.
! Energy of formation from the pure elements: -0.1 eV per formula unit
! E: -1.1052 eV per atom
&SYSTEM
  ibrav = 0, nat = 10, ntyp = 3
/
ATOMIC_SPECIES
Rb 85.47 Rb.upf
Na 22.99 Na.upf
Hg 200.59 Hg.upf
CELL_PARAMETERS angstrom
8.335 0.000 0.000
0.000 8.335 0.000
0.000 0.000 6.439
ATOMIC_POSITIONS crystal
Rb 0.187 0.313 0.000
Rb 0.313 0.813 0.000
Rb 0.687 0.187 0.000
Rb 0.813 0.687 0.000
Na 0.149 0.649 0.500
Na 0.351 0.149 0.500
Na 0.649 0.851 0.500
Na 0.851 0.351 0.500
Hg 0.000 0.000 0.500
Hg 0.500 0.500 0.500

12.
! Na2HgRhS (PBEsol, relaxed); values from VASP
! ΔE_f (raw): 0.62 eV per atom
! SG: No. 123
! Spin magnetization: 0.6 μB/f.u.
! E: -2.5555 eV per atom
&SYSTEM
  ibrav = 0, nat = 5, ntyp = 4
/
ATOMIC_SPECIES
Na 22.99 Na.upf
Hg 200.59 Hg.upf
Rh 102.91 Rh.upf
S 32.06 S.upf
CELL_PARAMETERS angstrom
5.219 0.000 0.000
0.000 5.219 0.000
0.000 0.000 4.971
ATOMIC_POSITIONS crystal
Na 0.000 0.500 0.000
Na 0.500 0.000 0.000
Hg 0.000 0.000 0.000
Rh 0.000 0.000 0.500
S 0.500 0.500 0.500